1.
Computed, not measured: a relaxed MgAg3S crystal at the PBE-GGA level of DFT.

The space group is Pm-3m (No. 221) and the conventional cell measures 4.9175, 4.9175 and 4.9175 Å, with angles of 90.00, 90.00 and 90.00 degrees. The asymmetric unit holds Mg at (0.0000, 0.0000, 0.0000), Ag at (0.0000, 0.0000, 0.5000) and S at (0.5000, 0.5000, 0.5000).

As for the density of states at the Fermi level: 0.655 states/eV per atom. The value obtained for the polymorph energy (0 for the lowest one) is 492 meV/atom.


2.
Computed, not measured: a relaxed MgAg2S crystal at the PBE-GGA level of DFT.

The space group is I-42d (No. 122) and the conventional cell measures 3.8034, 3.8034 and 21.7221 Å, with angles of 90.00, 90.00 and 90.00 degrees. The asymmetric unit holds Mg at (0.0000, 0.0000, 0.0000), Ag at (0.2488, 0.2500, 0.1250) and S at (0.0000, 0.0000, 0.5000).

As for the density of states at the Fermi level: 0.177 states/eV per atom. The value obtained for the polymorph energy (0 for the lowest one) is 0 meV/atom.


3.
Computed, not measured: a relaxed Mg2Ag4S5 crystal at the PBE-GGA level of DFT.

The space group is R-3m (No. 166, hexagonal axes) and the conventional cell measures 3.8984, 3.8984 and 51.5640 Å, with angles of 90.00, 90.00 and 120.00 degrees. The asymmetric unit holds Mg at (0.0000, 0.0000, 0.1382), Ag at (0.0000, 0.0000, 0.3139), Ag at (0.0000, 0.0000, 0.4186), S at (0.0000, 0.0000, 0.2225), S at (0.0000, 0.0000, 0.3712) and S at (0.0000, 0.0000, 0.5000).

As for the density of states at the Fermi level: 0.642 states/eV per atom.


Number 1: formation energy from raw total energies 790.8 meV per atom. Number 2: formation energy from raw total energies -204.2 meV per atom. Number 3: formation energy from raw total energies -407.9 meV per atom.